(1)
Material: MnCd2W
Method: DFT, PBE
State: optimized geometry

POSCAR file:
```
MnCd2W
1.0
4.7302 0.0000 0.0000
0.0000 2.7667 0.0102
0.0000 1.1483 5.3170
Cd Mn W
2 1 1
Direct
0.0000 0.0579 0.0056 Cd
0.0000 0.4421 0.4944 Cd
0.5000 0.2500 0.2500 Mn
0.5000 0.7500 0.7500 W
```

Results
Magnetization   2.6 μB per formula unit
Electronic total energy   -21.62 eV/cell
E_form   582 meV/atom
ΔE to the lowest computed polymorph   260.8 meV/atom
SG   No. 10

***

(2)
Material: Mn2CdW
Method: DFT, PBE
State: optimized geometry

POSCAR file:
```
Mn2CdW
1.0
2.7380 0.0000 0.0000
0.0000 2.7381 0.0000
0.0000 0.0000 7.9541
Cd Mn W
1 2 1
Direct
0.5000 0.5000 0.7655 Cd
0.0000 0.0000 0.0398 Mn
0.5000 0.5000 0.2279 Mn
0.0000 0.0000 0.4668 W
```

Results
Magnetization   1.1 μB per formula unit
Electronic total energy   -30.85 eV/cell
E_form   340 meV/atom
SG   No. 99

***

(3)
Material: MnCd2W
Method: DFT, PBE
State: optimized geometry

POSCAR file:
```
MnCd2W
1.0
4.4125 0.0000 0.0000
0.0000 3.9778 0.0000
0.0000 0.0000 3.9778
Cd Mn W
2 1 1
Direct
0.0000 0.0000 0.0000 Cd
0.0000 0.5000 0.5000 Cd
0.5000 0.5000 0.0000 Mn
0.5000 0.0000 0.5000 W
```

Results
Magnetization   2.9 μB per formula unit
Electronic total energy   -21.49 eV/cell
E_form   617 meV/atom
ΔE to the lowest computed polymorph   295.4 meV/atom
SG   No. 123

***

(4)
Material: Mn4CdW2
Method: DFT, PBE
State: optimized geometry

POSCAR file:
```
Mn4CdW2
1.0
4.8260 0.0000 0.0000
0.0000 4.8260 0.0000
2.4130 2.4130 6.3631
Mn W Cd
4 2 1
Direct
0.7935 0.7935 0.4130 Mn
0.2065 0.2065 0.5870 Mn
0.0000 0.5000 0.0000 Mn
0.5000 0.0000 0.0000 Mn
0.5925 0.5925 0.8149 W
0.4075 0.4075 0.1851 W
0.0000 0.0000 0.0000 Cd
```

Results
Magnetization   12.4 μB per formula unit
Electronic total energy   -52.59 eV/cell
E_form   1559 meV/atom
SG   No. 139

***

(5)
Material: MnCd2W
Method: DFT, PBE
State: optimized geometry

POSCAR file:
```
MnCd2W
1.0
4.5854 -0.4173 0.0000
0.3502 4.5910 0.0000
-2.4678 -2.0869 3.2795
Cd Mn W
2 1 1
Direct
0.0000 0.0000 0.0000 Cd
0.2500 0.7500 0.5000 Cd
0.5000 0.5000 0.0000 Mn
0.7500 0.2500 0.5000 W
```

Results
Magnetization   1.6 μB per formula unit
Electronic total energy   -21.33 eV/cell
E_form   656 meV/atom
ΔE to the lowest computed polymorph   334.9 meV/atom
SG   No. 119

***

(6)
Material: Mn2CdW
Method: DFT, PBE
State: optimized geometry

POSCAR file:
```
Mn2CdW
1.0
8.9905 -0.0099 -0.0058
8.5251 2.8553 -0.0058
8.5251 1.3849 2.4970
Cd Mn W
1 2 1
Direct
0.7500 0.7500 0.7500 Cd
0.9928 0.9928 0.9928 Mn
0.5072 0.5072 0.5072 Mn
0.2500 0.2500 0.2500 W
```

Results
Magnetization   5.5 μB per formula unit
Electronic total energy   -30.61 eV/cell
E_form   400 meV/atom
SG   No. 166

***

(7)
Material: MnCd2W
Method: DFT, PBE
State: optimized geometry

POSCAR file:
```
MnCd2W
1.0
-2.0585 0.2427 2.2140
0.0379 -3.0045 0.3646
5.6211 -2.3277 5.4815
Cd Mn W
2 1 1
Direct
0.0000 0.0168 0.9818 Cd
0.5000 0.2184 0.2832 Cd
0.0000 0.4643 0.5369 Mn
0.5000 0.8005 0.6981 W
```

Results
Magnetization   0.8 μB per formula unit
Electronic total energy   -22.67 eV/cell
E_form   321 meV/atom
ΔE to the lowest computed polymorph   0.0 meV/atom
SG   No. 6

***

(8)
Material: Mn2CdW
Method: DFT, PBE
State: optimized geometry

POSCAR file:
```
Mn2CdW
1.0
-0.9948 -1.5668 -4.0327
1.2845 -4.0841 -1.1734
-3.0109 -3.2317 -0.4451
Cd Mn W
1 2 1
Direct
0.5000 0.5000 0.5000 Cd
0.0000 0.0000 0.0000 Mn
0.7500 0.7500 0.7500 Mn
0.2500 0.2500 0.2500 W
```

Results
Magnetization   4.7 μB per formula unit
Electronic total energy   -29.66 eV/cell
E_form   636 meV/atom
SG   No. 216

***

Repeat the seventh record exactly.
Material: MnCd2W
Method: DFT, PBE
State: optimized geometry

POSCAR file:
```
MnCd2W
1.0
-2.0585 0.2427 2.2140
0.0379 -3.0045 0.3646
5.6211 -2.3277 5.4815
Cd Mn W
2 1 1
Direct
0.0000 0.0168 0.9818 Cd
0.5000 0.2184 0.2832 Cd
0.0000 0.4643 0.5369 Mn
0.5000 0.8005 0.6981 W
```

Results
Magnetization   0.8 μB per formula unit
Electronic total energy   -22.67 eV/cell
E_form   321 meV/atom
ΔE to the lowest computed polymorph   0.0 meV/atom
SG   No. 6

***

> Which of these has the highest magnetization?

Mn4CdW2

***

> The lowest E_form belongs to which entry?

number 7